No. 1
Entry from Alexandria: Ga5Cu2Pd12 after structural relaxation (GGA-PBE).

It has space group C2/m (No. 12), with a = 13.4594 Å, b = 5.7051 Å, c = 8.2950 Å, α = 90.00°, β = 96.32° and γ = 90.00°. Symmetry generates all atoms from Ga at (0.0000, 0.0000, 0.0000), Ga at (0.1516, 0.5000, 0.3791), Ga at (0.2102, 0.5000, 0.8938), Cu at (0.0000, 0.2930, 0.5000), Pd at (0.0240, 0.0000, 0.7230), Pd at (0.0286, 0.5000, 0.7972), Pd at (0.1404, 0.2567, 0.1125) and Pd at (0.1872, 0.2485, 0.6338).

The mass density is 9.19 g/cm³. The calculated formation energy comes out at -535.7 kJ/mol of formula units. Its final energy is -4.800 eV/atom. The density of states at the Fermi level is 7.27 states/eV/f.u.


No. 2
Entry from Alexandria: Ga6CuPd2 after structural relaxation (GGA-PBE).

It has space group P-3m1 (No. 164), with a = 4.2234 Å, b = 4.2234 Å, c = 10.2834 Å, α = 90.00°, β = 90.00° and γ = 120.00°. Symmetry generates all atoms from Ga at (0.0000, 0.0000, 0.2459), Ga at (0.3333, 0.6667, 0.4198), Ga at (0.3333, 0.6667, 0.9245), Cu at (0.0000, 0.0000, 0.0000) and Pd at (0.3333, 0.6667, 0.6729).

The mass density is 7.26 g/cm³. The calculated formation energy comes out at -280.3 kJ/mol of formula units. Its final energy is -3.950 eV/atom. The density of states at the Fermi level is 2.98 states/eV/f.u.